Entry from the Alexandria database: a geometry-optimized Ba2HCl2 structure (PBE).

Computed properties:
- relative energy among the computed polymorphs (eV/atom) = 0.000
- DFT total energy (eV/atom) = -3.665

Cell lengths 7.8962, 7.8962, 4.6999 Å; angles 90.00, 90.00, 90.00 degrees
Fractional positions:
Ba 0.1726 0.3274 0.0000
Ba 0.3274 0.8274 0.0000
Ba 0.6726 0.1726 0.0000
Ba 0.8274 0.6726 0.0000
H 0.0000 0.0000 0.0000
H 0.5000 0.5000 0.0000
Cl 0.1455 0.6455 0.5000
Cl 0.3545 0.1455 0.5000
Cl 0.6455 0.8545 0.5000
Cl 0.8545 0.3545 0.5000